An optimized crystal structure of HoCdPb4, computed with PBE.

Lattice parameters (Å, degrees): 6.9237 8.1509 6.7404 90.00 90.00 90.00
Space group Pmma (No. 51)
Inequivalent atoms, fractional coordinates:
Ho  0.2500  0.0000  0.1587 x2
Cd  0.2500  0.5000  0.6372 x2
Pb  0.0000  0.2000  0.5000 x4
Pb  0.0000  0.3061  0.0000 x4

Computed properties:
* theoretical density: 9.657 g/cm3
* formation energy: -0.023 eV/atom
* volume: 31.7 Å³ per atom

=====

An optimized crystal structure of Ho2CdPb, computed with PBE.

Lattice parameters (Å, degrees): 4.9742 4.9742 4.2995 90.00 90.00 90.00
Space group P4/mmm (No. 123)
Inequivalent atoms, fractional coordinates:
Ho  0.0000  0.5000  0.0000 x2
Cd  0.0000  0.0000  0.5000 x1
Pb  0.5000  0.5000  0.5000 x1

Computed properties:
* theoretical density: 10.138 g/cm3
* formation energy: -0.376 eV/atom
* volume: 26.6 Å³ per atom

=====

An optimized crystal structure of HoCd2Pb, computed with PBE.

Lattice parameters (Å, degrees): 10.8926 4.5299 4.5304 90.00 114.41 90.00
Space group C2/m (No. 12)
Inequivalent atoms, fractional coordinates:
Ho  0.0000  0.0000  0.0000 x2
Cd  0.2499  0.0000  0.7498 x4
Pb  0.0000  0.5000  0.5000 x2

Computed properties:
* theoretical density: 9.740 g/cm3
* formation energy: -0.253 eV/atom
* volume: 25.4 Å³ per atom

=====

An optimized crystal structure of Ho2CdPb5, computed with PBE.

Lattice parameters (Å, degrees): 6.7040 13.4157 4.9572 90.00 90.00 90.00
Space group Pbam (No. 55)
Inequivalent atoms, fractional coordinates:
Ho  0.2263  0.1322  0.0000 x4
Cd  0.0000  0.5000  0.5000 x2
Pb  0.0000  0.0000  0.5000 x2
Pb  0.0226  0.7444  0.5000 x4
Pb  0.2248  0.3842  0.0000 x4

Computed properties:
* theoretical density: 11.011 g/cm3
* formation energy: -0.283 eV/atom
* volume: 27.9 Å³ per atom

=====

An optimized crystal structure of HoCdPb, computed with PBE.

Lattice parameters (Å, degrees): 3.5414 18.6904 4.9202 90.00 90.00 90.00
Space group Cmcm (No. 63)
Inequivalent atoms, fractional coordinates:
Ho  0.0000  0.1152  0.2500 x4
Cd  0.0000  0.4626  0.2500 x4
Pb  0.0000  0.3008  0.2500 x4

Computed properties:
* theoretical density: 9.882 g/cm3
* formation energy: -0.218 eV/atom
* volume: 27.1 Å³ per atom

=====

An optimized crystal structure of HoCdPb, computed with PBE.

Lattice parameters (Å, degrees): 3.2461 3.2461 17.6412 90.00 90.00 90.00
Space group I4mm (No. 107)
Inequivalent atoms, fractional coordinates:
Ho  0.0000  0.0000  0.0000 x2
Cd  0.0000  0.0000  0.8237 x2
Pb  0.0000  0.0000  0.1801 x2

Computed properties:
* theoretical density: 8.657 g/cm3
* formation energy: 0.311 eV/atom
* volume: 31.0 Å³ per atom

=====

An optimized crystal structure of HoCd2Pb, computed with PBE.

Lattice parameters (Å, degrees): 4.5101 4.5101 4.9091 90.00 90.00 90.00
Space group P4/mmm (No. 123)
Inequivalent atoms, fractional coordinates:
Ho  0.0000  0.0000  0.0000 x1
Cd  0.0000  0.5000  0.5000 x2
Pb  0.5000  0.5000  0.0000 x1

Computed properties:
* theoretical density: 9.927 g/cm3
* formation energy: -0.308 eV/atom
* volume: 25.0 Å³ per atom

=====

An optimized crystal structure of HoCd2Pb, computed with PBE.

Lattice parameters (Å, degrees): 7.4997 7.4997 7.4997 90.00 90.00 90.00
Space group Fm-3m (No. 225)
Inequivalent atoms, fractional coordinates:
Ho  0.0000  0.0000  0.0000 x4
Cd  0.2500  0.2500  0.2500 x8
Pb  0.0000  0.0000  0.5000 x4

Computed properties:
* theoretical density: 9.400 g/cm3
* formation energy: -0.097 eV/atom
* volume: 26.4 Å³ per atom

=====

An optimized crystal structure of Ho7Cd4Pb, computed with PBE.

Lattice parameters (Å, degrees): 14.6587 5.7667 9.2520 90.00 120.18 90.00
Space group C2/m (No. 12)
Inequivalent atoms, fractional coordinates:
Ho  0.0000  0.0000  0.0000 x2
Ho  0.0766  0.5000  0.4177 x4
Ho  0.1838  0.5000  0.8743 x4
Ho  0.2393  0.0000  0.7060 x4
Cd  0.0304  0.0000  0.6836 x4
Cd  0.1868  0.0000  0.3420 x4
Pb  0.0000  0.5000  0.0000 x2

Computed properties:
* theoretical density: 8.898 g/cm3
* formation energy: -0.116 eV/atom
* volume: 28.2 Å³ per atom

=====

An optimized crystal structure of SmHoCdPb, computed with PBE.

Lattice parameters (Å, degrees): 7.6070 7.6070 7.6070 90.00 90.00 90.00
Space group F-43m (No. 216)
Inequivalent atoms, fractional coordinates:
Sm  0.0000  0.0000  0.0000 x4
Ho  0.0000  0.0000  0.5000 x4
Cd  0.2500  0.2500  0.2500 x4
Pb  0.2500  0.2500  0.7500 x4

Computed properties:
* theoretical density: 9.580 g/cm3
* formation energy: -0.392 eV/atom
* volume: 27.5 Å³ per atom

=====

An optimized crystal structure of HoCdSnPb, computed with PBE.

Lattice parameters (Å, degrees): 4.4617 4.7855 4.8286 90.00 90.00 90.00
Space group Pmmm (No. 47)
Inequivalent atoms, fractional coordinates:
Ho  0.0000  0.0000  0.0000 x1
Cd  0.0000  0.5000  0.5000 x1
Sn  0.5000  0.5000  0.0000 x1
Pb  0.5000  0.0000  0.5000 x1

Computed properties:
* theoretical density: 9.716 g/cm3
* formation energy: -0.354 eV/atom
* volume: 25.8 Å³ per atom

=====

An optimized crystal structure of SrHoCdPb, computed with PBE.

Lattice parameters (Å, degrees): 7.8402 7.8402 7.8402 90.00 90.00 90.00
Space group F-43m (No. 216)
Inequivalent atoms, fractional coordinates:
Sr  0.0000  0.0000  0.0000 x4
Ho  0.0000  0.0000  0.5000 x4
Cd  0.2500  0.2500  0.7500 x4
Pb  0.2500  0.2500  0.2500 x4

Computed properties:
* theoretical density: 7.886 g/cm3
* formation energy: -0.352 eV/atom
* volume: 30.1 Å³ per atom

=====

An optimized crystal structure of TbHoCdPb, computed with PBE.

Lattice parameters (Å, degrees): 7.5507 7.5507 7.5507 90.00 90.00 90.00
Space group F-43m (No. 216)
Inequivalent atoms, fractional coordinates:
Tb  0.0000  0.0000  0.0000 x4
Ho  0.0000  0.0000  0.5000 x4
Cd  0.2500  0.2500  0.7500 x4
Pb  0.2500  0.2500  0.2500 x4

Computed properties:
* theoretical density: 9.928 g/cm3
* formation energy: -0.378 eV/atom
* volume: 26.9 Å³ per atom

=====

An optimized crystal structure of HoTlCdPb, computed with PBE.

Lattice parameters (Å, degrees): 7.5895 7.5895 7.5895 90.00 90.00 90.00
Space group F-43m (No. 216)
Inequivalent atoms, fractional coordinates:
Ho  0.0000  0.0000  0.0000 x4
Tl  0.2500  0.2500  0.2500 x4
Cd  0.0000  0.0000  0.5000 x4
Pb  0.2500  0.2500  0.7500 x4

Computed properties:
* theoretical density: 10.468 g/cm3
* formation energy: -0.104 eV/atom
* volume: 27.3 Å³ per atom

=====

An optimized crystal structure of HoTlCdPb, computed with PBE.

Lattice parameters (Å, degrees): 4.5420 4.6735 4.9555 90.00 90.00 90.00
Space group Pmmm (No. 47)
Inequivalent atoms, fractional coordinates:
Ho  0.0000  0.0000  0.0000 x1
Tl  0.5000  0.0000  0.5000 x1
Cd  0.0000  0.5000  0.5000 x1
Pb  0.5000  0.5000  0.0000 x1

Computed properties:
* theoretical density: 10.876 g/cm3
* formation energy: -0.271 eV/atom
* volume: 26.3 Å³ per atom

=====

An optimized crystal structure of HoTmCdPb, computed with PBE.

Lattice parameters (Å, degrees): 7.4971 7.4971 7.4971 90.00 90.00 90.00
Space group F-43m (No. 216)
Inequivalent atoms, fractional coordinates:
Ho  0.0000  0.0000  0.0000 x4
Tm  0.0000  0.0000  0.5000 x4
Cd  0.2500  0.2500  0.2500 x4
Pb  0.2500  0.2500  0.7500 x4

Computed properties:
* theoretical density: 10.301 g/cm3
* formation energy: -0.343 eV/atom
* volume: 26.3 Å³ per atom

=====

An optimized crystal structure of HoTmCdPb, computed with PBE.

Lattice parameters (Å, degrees): 4.9183 4.9183 8.7104 90.00 90.00 90.00
Space group I-4m2 (No. 119)
Inequivalent atoms, fractional coordinates:
Ho  0.0000  0.0000  0.0000 x2
Tm  0.0000  0.0000  0.5000 x2
Cd  0.0000  0.5000  0.2500 x2
Pb  0.0000  0.5000  0.7500 x2

Computed properties:
* theoretical density: 10.300 g/cm3
* formation energy: -0.349 eV/atom
* volume: 26.3 Å³ per atom

=====

An optimized crystal structure of YHoCdPb, computed with PBE.

Lattice parameters (Å, degrees): 7.5456 7.5456 7.5456 90.00 90.00 90.00
Space group F-43m (No. 216)
Inequivalent atoms, fractional coordinates:
Y  0.0000  0.0000  0.0000 x4
Ho  0.0000  0.0000  0.5000 x4
Cd  0.2500  0.2500  0.2500 x4
Pb  0.2500  0.2500  0.7500 x4

Computed properties:
* theoretical density: 8.866 g/cm3
* formation energy: -0.387 eV/atom
* volume: 26.9 Å³ per atom

=====

An optimized crystal structure of Ho5Cd2Pd2, computed with PBE.

Lattice parameters (Å, degrees): 16.0180 7.6935 7.5415 90.00 90.00 90.00
Space group Cmce (No. 64)
Inequivalent atoms, fractional coordinates:
Ho  0.0000  0.0000  0.0000 x4
Ho  0.1227  0.1786  0.3278 x16
Cd  0.2174  0.0000  0.0000 x8
Pd  0.0000  0.1297  0.6291 x8

Computed properties:
* theoretical density: 9.022 g/cm3
* formation energy: -0.496 eV/atom
* volume: 25.8 Å³ per atom

=====

An optimized crystal structure of HoCd2Pd, computed with PBE.

Lattice parameters (Å, degrees): 3.1853 3.1853 31.5627 90.00 90.00 120.00
Space group R-3m (No. 166, hexagonal axes)
Inequivalent atoms, fractional coordinates:
Ho  0.0000  0.0000  0.0000 x3
Cd  0.0000  0.0000  0.0989 x6
Pd  0.0000  0.0000  0.5000 x3

Computed properties:
* theoretical density: 8.912 g/cm3
* formation energy: 0.044 eV/atom
* volume: 23.1 Å³ per atom

=====

An optimized crystal structure of HoCd4Pd2, computed with PBE.

Lattice parameters (Å, degrees): 8.8649 8.8649 3.8390 90.00 90.00 90.00
Space group P4_2/mnm (No. 136)
Inequivalent atoms, fractional coordinates:
Ho  0.0000  0.0000  0.0000 x2
Cd  0.0959  0.3346  0.5000 x8
Pd  0.1700  0.8300  0.5000 x4

Computed properties:
* theoretical density: 9.108 g/cm3
* formation energy: -0.404 eV/atom
* volume: 21.5 Å³ per atom

=====

An optimized crystal structure of Ho2CdPd3, computed with PBE.

Lattice parameters (Å, degrees): 12.5460 7.6091 5.6444 90.00 90.00 90.00
Space group Cmcm (No. 63)
Inequivalent atoms, fractional coordinates:
Ho  0.1655  0.1739  0.2500 x8
Cd  0.0000  0.3195  0.7500 x4
Pd  0.0000  0.0000  0.0000 x4
Pd  0.1645  0.5000  0.0000 x8

Computed properties:
* theoretical density: 9.387 g/cm3
* formation energy: -0.672 eV/atom
* volume: 22.5 Å³ per atom

=====

An optimized crystal structure of Ho3CdPd6, computed with PBE.

Lattice parameters (Å, degrees): 10.9623 16.5737 4.4490 90.00 90.00 90.00
Space group Cmc2_1 (No. 36)
Inequivalent atoms, fractional coordinates:
Ho  0.0000  0.0897  0.0000 x4
Ho  0.1704  0.3965  0.5012 x8
Cd  0.0000  0.2889  0.0001 x4
Pd  0.0000  0.1924  0.4998 x4
Pd  0.0000  0.4532  0.0009 x4
Pd  0.1678  0.0502  0.5003 x8
Pd  0.2435  0.2050  0.5029 x8

Computed properties:
* theoretical density: 10.236 g/cm3
* formation energy: -0.702 eV/atom
* volume: 20.2 Å³ per atom

=====

An optimized crystal structure of Ho3CdPd5, computed with PBE.

Lattice parameters (Å, degrees): 8.4361 8.4361 5.7804 90.00 90.00 120.00
Space group P6_3/mcm (No. 193)
Inequivalent atoms, fractional coordinates:
Ho  0.0000  0.3622  0.2500 x6
Cd  0.0000  0.0000  0.0000 x2
Pd  0.0000  0.3088  0.7500 x6
Pd  0.3333  0.6667  0.0000 x4

Computed properties:
* theoretical density: 10.620 g/cm3
* formation energy: -0.818 eV/atom
* volume: 19.8 Å³ per atom

=====

An optimized crystal structure of Ho2Cd3Pd7, computed with PBE.

Lattice parameters (Å, degrees): 4.5340 4.6945 11.4947 78.29 89.83 89.92
Space group P-1 (No. 2)
Inequivalent atoms, fractional coordinates:
Ho  0.0017  0.1506  0.1995 x2
Cd  0.0000  0.0000  0.5000 x1
Cd  0.4981  0.3523  0.7945 x2
Pd  0.0009  0.5724  0.3541 x2
Pd  0.0030  0.7181  0.0635 x2
Pd  0.4992  0.9274  0.6455 x2
Pd  0.5000  0.5000  0.5000 x1

Computed properties:
* theoretical density: 9.787 g/cm3
* formation energy: -0.456 eV/atom
* volume: 20.0 Å³ per atom